VASP calculation (PBE-GGA) on crystalline RbTl2B2O6 at its relaxed geometry.

Geometry as CIF:
```
data_RbTl2B2O6
_chemical_formula_sum 'Rb1 Tl2 B2 O6'
_cell_length_a 5.565
_cell_length_b 5.856
_cell_length_c 6.565
_cell_angle_alpha 88.71
_cell_angle_beta 68.41
_cell_angle_gamma 61.96
_space_group_name_H-M_alt 'P 1'
_space_group_IT_number 1
loop_
_space_group_symop_operation_xyz
'x,y,z'
loop_
_atom_site_label
_atom_site_type_symbol
_atom_site_fract_x
_atom_site_fract_y
_atom_site_fract_z
Rb1 Rb 0.000 0.000 0.000
Tl1 Tl 0.389 0.329 0.726
Tl2 Tl 0.611 0.671 0.274
B1 B 0.287 0.309 0.258
B2 B 0.713 0.691 0.742
O1 O 0.146 0.492 0.141
O2 O 0.274 0.081 0.269
O3 O 0.448 0.362 0.354
O4 O 0.552 0.638 0.646
O5 O 0.726 0.919 0.731
O6 O 0.854 0.508 0.859
```

Values from the calculation:
E_form (uncorrected) ... -148 kJ per mole of atoms
E_tot ... -65.6 eV per cell
Space group ... No. 2

***

VASP calculation (PBE-GGA) on crystalline RbTlBO4 at its relaxed geometry.

Geometry as CIF:
```
data_RbTlBO4
_chemical_formula_sum 'Rb2 Tl2 B2 O8'
_cell_length_a 6.243
_cell_length_b 6.243
_cell_length_c 6.238
_cell_angle_alpha 90.00
_cell_angle_beta 90.00
_cell_angle_gamma 110.81
_space_group_name_H-M_alt 'P 1'
_space_group_IT_number 1
loop_
_space_group_symop_operation_xyz
'x,y,z'
loop_
_atom_site_label
_atom_site_type_symbol
_atom_site_fract_x
_atom_site_fract_y
_atom_site_fract_z
Rb1 Rb 0.000 0.000 0.000
Rb2 Rb 0.000 0.000 0.500
Tl1 Tl 0.365 0.635 0.750
Tl2 Tl 0.635 0.365 0.250
B1 B 0.365 0.635 0.250
B2 B 0.635 0.365 0.750
O1 O 0.275 0.725 0.061
O2 O 0.275 0.725 0.439
O3 O 0.279 0.382 0.250
O4 O 0.382 0.279 0.750
O5 O 0.618 0.721 0.250
O6 O 0.721 0.618 0.750
O7 O 0.725 0.275 0.561
O8 O 0.725 0.275 0.939
```

Values from the calculation:
E_form (uncorrected) ... -121 kJ per mole of atoms
E_tot ... -77.3 eV per cell
Space group ... No. 63